Entry 1:
{
  "formula": "LaReSnAs2",
  "functional": "GGA-PBE",
  "state": "optimized geometry",
  "ef_ev_per_atom": 1.616,
  "energy_ev_per_atom": -4.520,
  "mass_density_g_cm3": 6.5,
  "space_group": "P4/mmm (123)",
  "cell": [[5.062, 0.000, 0.000], [0.000, 5.931, 0.000], [0.000, 0.000, 5.062]],
  "species": ["As", "As", "Sn", "La", "Re"],
  "frac_coords": [[0.500, 0.000, 0.000], [0.000, 0.000, 0.500], [0.000, 0.000, 0.000], [0.000, 0.500, 0.000], [0.500, 0.500, 0.500]]
}

***

Entry 2:
{
  "formula": "SrTl2RhBr",
  "functional": "GGA-PBE",
  "state": "optimized geometry",
  "energy_ev_per_atom": -3.688,
  "mass_density_g_cm3": 7.0,
  "space_group": "P4/mmm (123)",
  "raw_formation_energy_ev_per_fu": -3.00,
  "cell": [[5.251, 0.000, 0.000], [0.000, 5.251, 0.000], [0.000, 0.000, 5.851]],
  "species": ["Br", "Tl", "Tl", "Rh", "Sr"],
  "frac_coords": [[0.500, 0.500, 0.500], [0.000, 0.500, 0.000], [0.500, 0.000, 0.000], [0.000, 0.000, 0.000], [0.000, 0.000, 0.500]]
}

***

Entry 3:
{
  "formula": "HfNb2SiW",
  "functional": "GGA-PBE",
  "state": "optimized geometry",
  "energy_ev_per_atom": -7.656,
  "mass_density_g_cm3": 8.6,
  "space_group": "P4/mmm (123)",
  "raw_formation_energy_ev_per_fu": 10.19,
  "cell": [[-3.874, 2.703, 1.164], [-0.820, -2.776, 3.718], [2.818, 2.854, 2.753]],
  "species": ["Si", "Hf", "W", "Nb", "Nb"],
  "frac_coords": [[0.000, 0.500, 0.000], [0.000, 0.000, 0.000], [0.500, 0.500, 0.500], [0.500, 0.000, 0.000], [0.000, 0.000, 0.500]]
}

***

Entry 4:
{
  "formula": "AcHoCdIr",
  "functional": "GGA-PBE",
  "state": "optimized geometry",
  "ef_ev_per_atom": -0.369,
  "energy_ev_per_atom": -4.984,
  "mass_density_g_cm3": 11.2,
  "space_group": "F-43m (216)",
  "cell": [[5.262, 0.000, 0.000], [2.631, 4.557, 0.000], [2.631, 1.519, 4.297]],
  "species": ["Ho", "Ir", "Cd", "Ac"],
  "frac_coords": [[0.750, 0.750, 0.750], [0.000, 0.000, 0.000], [0.500, 0.500, 0.500], [0.250, 0.250, 0.250]]
}

***

Entry 5:
{
  "formula": "MgZnAu2N",
  "functional": "GGA-PBE",
  "state": "optimized geometry",
  "energy_ev_per_atom": -2.124,
  "mass_density_g_cm3": 5.9,
  "space_group": "P4/mmm (123)",
  "raw_formation_energy_ev_per_fu": 7.13,
  "cell": [[-0.396, -1.435, 4.871], [-1.524, -4.917, -1.573], [4.869, -1.495, -0.044]],
  "species": ["N", "Mg", "Au", "Au", "Zn"],
  "frac_coords": [[0.500, 0.500, 0.500], [0.000, 0.000, 0.000], [0.500, 0.000, 0.000], [0.000, 0.000, 0.500], [0.000, 0.500, 0.000]]
}

***

Entry 6:
{
  "formula": "Tc2Sn2Bi",
  "functional": "GGA-PBE",
  "state": "optimized geometry",
  "ef_ev_per_atom": 0.467,
  "energy_ev_per_atom": -6.057,
  "mass_density_g_cm3": 9.7,
  "space_group": "I4/mmm (139)",
  "cell": [[-3.645, -1.973, 1.309], [2.368, -3.013, 2.052], [-0.671, 0.782, 6.526]],
  "species": ["Sn", "Sn", "Bi", "Tc", "Tc"],
  "frac_coords": [[0.250, 0.750, 0.500], [0.750, 0.250, 0.500], [0.000, 0.000, 0.000], [0.398, 0.398, 0.205], [0.602, 0.602, 0.795]]
}

***

Repeat the fifth record exactly.
{
  "formula": "MgZnAu2N",
  "functional": "GGA-PBE",
  "state": "optimized geometry",
  "energy_ev_per_atom": -2.124,
  "mass_density_g_cm3": 5.9,
  "space_group": "P4/mmm (123)",
  "raw_formation_energy_ev_per_fu": 7.13,
  "cell": [[-0.396, -1.435, 4.871], [-1.524, -4.917, -1.573], [4.869, -1.495, -0.044]],
  "species": ["N", "Mg", "Au", "Au", "Zn"],
  "frac_coords": [[0.500, 0.500, 0.500], [0.000, 0.000, 0.000], [0.500, 0.000, 0.000], [0.000, 0.000, 0.500], [0.000, 0.500, 0.000]]
}